A relaxed structure of Tb4GaHg2, computed with GGA-PBE.

The total energy is -3.497 eV/atom. The calculation puts the formation energy from the elements at -332 meV per atom. The value obtained for the volume is 27.77 Å³/atom.

The structure in POSCAR format:
```
Tb4GaHg2
1.0
-3.076 -3.796 1.688
-0.719 -0.681 5.074
-7.839 3.732 2.023
Tb Hg Ga
4 2 1
direct
0.875 0.875 0.375
0.125 0.125 0.625
0.624 0.624 0.129
0.376 0.376 0.871
0.751 0.751 0.747
0.249 0.249 0.253
0.000 0.000 0.000
```

A relaxed structure of Sm12Dy3Cd, computed with GGA-PBE.

The total energy is -4.466 eV/atom. The calculation puts the formation energy from the elements at -7 meV per atom. The value obtained for the volume is 32.44 Å³/atom.

The structure in POSCAR format:
```
Sm12Dy3Cd
1.0
-4.530 -1.094 -1.932
1.935 -4.099 -2.215
-4.404 -11.036 16.573
Sm Dy Cd
12 3 1
direct
0.500 0.500 0.000
0.500 0.500 0.245
0.500 0.500 0.500
0.500 0.500 0.755
0.500 0.000 0.122
0.500 0.000 0.374
0.500 0.000 0.626
0.500 0.000 0.878
0.000 0.500 0.122
0.000 0.500 0.374
0.000 0.500 0.626
0.000 0.500 0.878
0.000 0.000 0.248
0.000 0.000 0.500
0.000 0.000 0.752
0.000 0.000 0.000
```

A relaxed structure of Cs2Pu2CoS6, computed with GGA-PBE.

The total energy is -6.793 eV/atom. The value obtained for the volume is 28.40 Å³/atom.

The structure in POSCAR format:
```
Cs2Pu2CoS6
1.0
-2.389 -4.380 4.315
5.660 -1.346 -3.110
3.051 5.642 5.614
Cs Pu Co S
2 2 1 6
direct
0.829 0.171 0.000
0.171 0.829 0.000
0.332 0.668 0.500
0.668 0.332 0.500
0.000 0.000 0.500
0.760 0.760 0.665
0.062 0.361 0.669
0.240 0.240 0.335
0.361 0.062 0.669
0.938 0.639 0.331
0.639 0.938 0.331
```

A relaxed structure of Sc2CuH2, computed with GGA-PBE.

The total energy is -4.814 eV/atom. The energy above the most stable polymorph in this dataset comes out at 0.386 eV/atom. The value obtained for the volume is 12.13 Å³/atom.

The structure in POSCAR format:
```
Sc2CuH2
1.0
6.401 0.000 0.000
0.000 6.401 0.000
0.000 0.000 2.962
Sc H Cu
4 4 2
direct
0.183 0.683 0.500
0.683 0.817 0.500
0.817 0.317 0.500
0.317 0.183 0.500
0.374 0.874 0.000
0.874 0.626 0.000
0.626 0.126 0.000
0.126 0.374 0.000
0.000 0.000 0.000
0.500 0.500 0.000
```

A relaxed structure of YBe3Te, computed with GGA-PBE.

The total energy is -2.455 eV/atom. The energy above the most stable polymorph in this dataset comes out at 0.757 eV/atom. The value obtained for the volume is 25.98 Å³/atom.

The structure in POSCAR format:
```
YBe3Te
1.0
-3.373 -0.365 3.760
1.504 -4.753 0.889
3.465 1.709 3.274
Y Be Te
1 3 1
direct
0.000 0.000 0.000
0.000 0.500 0.000
0.000 0.000 0.500
0.500 0.000 0.000
0.500 0.500 0.500
```

A relaxed structure of Zr2Ti3Ga3, computed with GGA-PBE.

The total energy is -6.566 eV/atom. The calculation puts the formation energy from the elements at -334 meV per atom. The value obtained for the volume is 18.56 Å³/atom.

The structure in POSCAR format:
```
Zr2Ti3Ga3
1.0
3.923 -6.795 0.000
3.923 6.795 0.000
0.000 0.000 5.572
Zr Ti Ga
4 6 6
direct
0.333 0.667 0.500
0.667 0.333 0.500
0.667 0.333 0.000
0.333 0.667 0.000
0.238 0.000 0.750
0.762 0.762 0.750
0.000 0.238 0.750
0.762 0.000 0.250
0.238 0.238 0.250
0.000 0.762 0.250
0.618 0.000 0.750
0.382 0.382 0.750
0.000 0.618 0.750
0.382 0.000 0.250
0.618 0.618 0.250
0.000 0.382 0.250
```

A relaxed structure of NdTm3Cu, computed with GGA-PBE.

The total energy is -4.394 eV/atom. The calculation puts the formation energy from the elements at 62 meV per atom. The value obtained for the volume is 30.11 Å³/atom.

The structure in POSCAR format:
```
NdTm3Cu
1.0
5.320 0.000 0.000
0.000 5.320 0.000
0.000 0.000 5.320
Tm Nd Cu
3 1 1
direct
0.000 0.500 0.000
0.000 0.000 0.500
0.500 0.000 0.000
0.500 0.500 0.500
0.000 0.000 0.000
```

A relaxed structure of CaEr2SiN4, computed with GGA-PBE.

The total energy is -7.618 eV/atom. The value obtained for the volume is 13.75 Å³/atom.

The structure in POSCAR format:
```
CaEr2SiN4
1.0
-1.945 2.624 0.450
-0.986 -3.610 4.714
8.447 5.268 5.801
Ca Er Si N
2 4 2 8
direct
0.098 0.196 0.750
0.902 0.804 0.250
0.369 0.738 0.539
0.631 0.262 0.039
0.631 0.262 0.461
0.369 0.738 0.961
0.821 0.643 0.750
0.179 0.357 0.250
0.262 0.524 0.127
0.738 0.476 0.627
0.738 0.476 0.873
0.262 0.524 0.373
0.000 0.000 0.500
0.000 0.000 0.000
0.407 0.815 0.750
0.593 0.185 0.250
```